Compound: Sc4FeCo
Source: Alexandria via LeMat-Bulk
Functional: PBE
Structure: relaxed

**D(E_F)**: 0.6216 states/eV per atom
**E_tot**: -81.8 eV per cell
**ΔE to the lowest computed polymorph**: 0.193 eV/atom
**Total moment**: 0.0 μB/cell

Cell lengths 7.0129, 7.0129, 7.0129 Å; angles 101.72, 101.72, 126.42 degrees
Last column: nearest neighbours and their distance in Å.
Atoms (fractional coordinates):
Sc: 0.2266 0.0000 0.2266  2 Co 2.42-2.56, 1 Fe 2.55
Sc: 0.2468 0.5180 0.2712  2 Fe 2.40-2.56, 1 Co 2.57
Sc: 0.2468 0.9757 0.7288  2 Fe 2.40-2.56, 1 Co 2.57
Sc: 0.2680 0.4968 0.7712  2 Fe 2.40-2.56, 1 Co 2.57
Sc: 0.7257 0.4968 0.2288  2 Fe 2.40-2.56, 1 Co 2.57
Sc: 0.7500 0.0234 0.2734  2 Co 2.42-2.56, 1 Fe 2.55
Sc: 0.7500 0.4766 0.7266  2 Co 2.42-2.56, 1 Fe 2.55
Sc: 0.7734 0.0000 0.7734  2 Co 2.42-2.56, 1 Fe 2.55
Fe: 0.2490 0.2490 0.0000  6 Sc 2.40-2.56
Fe: 0.9990 0.4990 0.5000  6 Sc 2.40-2.56
Co: 0.4977 0.9977 0.5000  6 Sc 2.42-2.57
Co: 0.7477 0.7477 0.0000  6 Sc 2.42-2.57